## Li2VPCO7 (GGA+U)

Data for Li2VPCO7 after structural relaxation.

Geometry as POSCAR:
```
Li2VPCO7
1.0
-3.615 -1.459 -5.128
4.166 -1.444 -2.527
-0.221 -8.068 2.451
P O C Li V
2 14 2 4 2
direct
0.754 0.767 0.083
0.254 0.233 0.917
0.733 0.634 0.929
0.775 0.087 0.412
0.760 0.422 0.572
0.937 0.653 0.192
0.437 0.347 0.808
0.286 0.931 0.956
0.563 0.708 0.196
0.275 0.913 0.588
0.713 0.011 0.677
0.260 0.578 0.428
0.063 0.292 0.804
0.213 0.989 0.323
0.233 0.366 0.071
0.786 0.069 0.044
0.248 0.829 0.454
0.748 0.171 0.546
0.744 0.703 0.399
0.244 0.297 0.601
0.958 0.228 0.225
0.458 0.772 0.775
0.757 0.297 0.824
0.257 0.703 0.176
```

Calculated values
- Space group: No. 4
- D(E_F): 0.0 states/eV/f.u.
- Size of the total moment: 2.00 μB per formula unit
- Electronic total energy: -7.110 eV per atom
- Theoretical density: 2.66 g cm⁻³